PmSiRu: relaxed, PBE-GGA.

Cell and atoms, written as extended XYZ:
```
3
Lattice="4.115 0.000 0.000 -2.057 3.564 0.000 0.000 0.000 4.248" Properties=species:S:1:pos:R:3 pbc="T T T"
Pm 0.000 0.000 0.000
Si 0.000 2.376 2.124
Ru 2.057 1.188 2.124
```

* formation energy from raw total energies: -1.8 eV/f.u.
* M_tot: 0.00 μB/cell
* crystal system: hexagonal
* N(E_F): 0.88 states/eV per atom
* energy relative to the lowest polymorph listed for this composition: 194 meV per atom
* calculated density: 7.308 Mg/m³